Entry 1:
Below is a relaxed Dy12CdAu6 crystal, with properties calculated at the GGA-PBE level. Values from VASP.

Geometry as Quantum ESPRESSO input:
```
&SYSTEM
  ibrav = 0, nat = 19, ntyp = 3
/
ATOMIC_SPECIES
Dy 162.50 Dy.upf
Au 196.97 Au.upf
Cd 112.41 Cd.upf
ATOMIC_POSITIONS angstrom
Dy 5.7177 0.9669 4.7585
Dy -0.2251 6.9922 5.1780
Dy 2.3527 -0.4184 4.6501
Au 6.5303 3.4250 3.3923
Dy 2.9211 -2.1921 7.9003
Au 4.4054 -0.6343 2.5742
Dy 3.4829 6.8691 0.4772
Dy -1.6762 1.6070 7.3587
Au 3.9247 0.3588 7.0958
Dy 4.4781 2.1982 1.5646
Dy 8.0803 3.0700 1.0189
Au 2.4793 4.3182 1.2817
Au -0.1263 1.2520 4.9853
Dy 6.6291 -2.3152 3.1995
Cd 0.0000 0.0000 0.0000
Dy 0.6864 3.7101 3.6191
Dy 1.9259 2.4788 6.8130
Au 1.9986 5.3113 5.8034
Dy 4.0513 5.0954 3.7274
CELL_PARAMETERS angstrom
-4.1987 3.0845 6.7823
5.7429 -5.1053 3.7548
4.8599 6.6978 -2.1596
```

Values from the calculation:
Energy relative to the elements   -35.51 kJ per mole of atoms
Space group   R-3
Crystal system   trigonal
Total energy   -4.358 eV per atom

Entry 2:
Below is a relaxed DyCd2Au crystal, with properties calculated at the GGA-PBE level. Values from VASP.

Geometry as Quantum ESPRESSO input:
```
&SYSTEM
  ibrav = 0, nat = 4, ntyp = 3
/
ATOMIC_SPECIES
Cd 112.41 Cd.upf
Au 196.97 Au.upf
Dy 162.50 Dy.upf
ATOMIC_POSITIONS angstrom
Cd -0.9363 2.8761 0.0000
Au 0.4835 2.6966 2.4958
Cd 1.9034 2.5170 0.0000
Dy 3.7498 1.5385 2.4958
CELL_PARAMETERS angstrom
5.3829 0.9594 0.0000
-1.1496 3.2756 0.0000
0.0000 0.0000 4.9917
```

Values from the calculation:
Energy relative to the elements   -32.71 kJ per mole of atoms
Space group   P2/m
Crystal system   monoclinic
Total energy   -2.766 eV per atom

Entry 3:
Below is a relaxed DyCd3Au crystal, with properties calculated at the GGA-PBE level. Values from VASP.

Geometry as Quantum ESPRESSO input:
```
&SYSTEM
  ibrav = 0, nat = 20, ntyp = 3
/
ATOMIC_SPECIES
Au 196.97 Au.upf
Dy 162.50 Dy.upf
Cd 112.41 Cd.upf
ATOMIC_POSITIONS angstrom
Au 0.9898 6.1707 10.9333
Dy 2.9695 3.0515 6.3437
Cd 2.9695 5.3971 3.7088
Cd 2.9695 1.5636 10.0312
Cd 0.9898 5.3372 1.1372
Cd 0.9898 8.7996 9.9799
Cd 0.9898 3.1687 3.7602
Au 2.9695 3.2938 1.6088
Cd 0.9898 0.6050 5.1338
Cd 0.9898 7.9009 2.5109
Cd 2.9695 0.6649 2.5622
Cd 2.9695 8.8595 7.4082
Au 2.9695 8.0260 4.6622
Cd 2.9695 6.2958 8.7819
Cd 0.9898 4.0674 8.8332
Dy 0.9898 1.6808 0.0727
Dy 0.9898 6.4130 6.1984
Au 0.9898 1.4385 7.8798
Cd 2.9695 4.1273 11.4049
Dy 2.9695 7.7837 12.4694
CELL_PARAMETERS angstrom
3.9593 0.0000 0.0000
0.0000 9.4645 0.0000
0.0000 0.0000 12.5421
```

Values from the calculation:
Energy relative to the elements   -30.38 kJ per mole of atoms
Space group   Pnma
Crystal system   orthorhombic
Total energy   -2.440 eV per atom

Entry 4:
Below is a relaxed DyCdAu crystal, with properties calculated at the GGA-PBE level. Values from VASP.

Geometry as Quantum ESPRESSO input:
```
&SYSTEM
  ibrav = 0, nat = 18, ntyp = 3
/
ATOMIC_SPECIES
Cd 112.41 Cd.upf
Au 196.97 Au.upf
Dy 162.50 Dy.upf
ATOMIC_POSITIONS angstrom
Cd -2.1481 -6.0389 -1.9114
Au -2.6106 -13.2493 -5.3328
Dy 0.8470 -7.4975 -1.7389
Au 0.5548 -10.3461 -3.2405
Cd -0.9935 -12.7787 -2.9360
Cd -1.9626 -8.9784 -2.7940
Au -3.6504 -9.1718 -5.1804
Au -1.5001 -1.7681 0.6274
Cd -3.1172 -2.2386 -1.7694
Au -1.6181 -3.8110 -3.6899
Cd 0.2064 -10.5401 -0.4270
Dy 0.0773 -3.4703 -1.2360
Dy -3.2638 -1.3517 -4.9931
Cd -4.3171 -4.4772 -4.2784
Au -0.4603 -5.8456 0.4750
Dy -1.1405 -10.6867 -5.6943
Dy 2.2005 -12.8053 -1.9373
Dy -1.9103 -6.6595 -5.1915
CELL_PARAMETERS angstrom
-3.0474 -0.8603 2.2249
-4.4457 -0.8932 -6.4345
3.3824 -13.2639 -0.4958
```

Values from the calculation:
Energy relative to the elements   -61.16 kJ per mole of atoms
Space group   Pmma
Crystal system   orthorhombic
Total energy   -3.565 eV per atom

Entry 5:
Below is a relaxed Dy6Cd3Au crystal, with properties calculated at the GGA-PBE level. Values from VASP.

Geometry as Quantum ESPRESSO input:
```
&SYSTEM
  ibrav = 0, nat = 20, ntyp = 3
/
ATOMIC_SPECIES
Cd 112.41 Cd.upf
Dy 162.50 Dy.upf
Au 196.97 Au.upf
ATOMIC_POSITIONS angstrom
Cd 6.9248 0.2173 5.1402
Dy 4.1960 -0.1417 3.6118
Au 7.0539 -5.2983 2.6777
Dy 4.6544 -5.2480 4.6608
Dy 6.8707 3.0223 6.3983
Cd 9.6311 -2.0341 5.4613
Au 1.7964 -0.0914 5.5949
Dy 1.9611 -2.7500 4.4591
Cd 4.0319 -3.1199 2.1653
Dy 4.6698 -6.1711 1.0862
Dy 7.7852 -4.6007 6.5221
Cd 1.9255 -5.6070 3.1324
Dy 7.3322 -1.3237 7.7971
Cd -0.7807 -3.3556 2.8114
Dy 1.9797 -8.4120 1.8743
Dy 1.0652 -0.7890 1.7505
Cd 4.8185 -2.2698 6.1073
Dy 1.5181 -4.0660 0.4755
Dy 6.8893 -2.6397 3.8135
Dy 4.1806 0.7814 7.1864
CELL_PARAMETERS angstrom
-2.1635 -1.9833 4.3287
2.7947 -8.5727 -2.5309
8.2191 5.1663 6.4749
```

Values from the calculation:
Energy relative to the elements   -31.45 kJ per mole of atoms
Space group   P2_1/m
Crystal system   monoclinic
Total energy   -3.689 eV per atom

Entry 6:
Below is a relaxed DyCd6Au crystal, with properties calculated at the GGA-PBE level. Values from VASP.

Geometry as Quantum ESPRESSO input:
```
&SYSTEM
  ibrav = 0, nat = 8, ntyp = 3
/
ATOMIC_SPECIES
Cd 112.41 Cd.upf
Dy 162.50 Dy.upf
Au 196.97 Au.upf
ATOMIC_POSITIONS angstrom
Cd -0.1466 4.9303 3.7028
Cd 1.2759 2.0515 2.8135
Cd -3.5574 0.1991 2.7971
Dy -2.5325 3.1577 2.1519
Au -0.1820 2.9526 0.1714
Cd -1.0686 2.2663 4.8072
Cd -1.0054 0.4335 1.4688
Cd 2.3873 5.1630 2.3839
CELL_PARAMETERS angstrom
-1.5344 4.0234 -2.2379
-5.2565 -0.4829 2.7359
4.8164 3.7597 3.4572
```

Values from the calculation:
Energy relative to the elements   -17.40 kJ per mole of atoms
Space group   Amm2
Crystal system   orthorhombic
Total energy   -1.852 eV per atom

Entry 7:
Below is a relaxed DyCdAu crystal, with properties calculated at the GGA-PBE level. Values from VASP.

Geometry as Quantum ESPRESSO input:
```
&SYSTEM
  ibrav = 0, nat = 9, ntyp = 3
/
ATOMIC_SPECIES
Cd 112.41 Cd.upf
Dy 162.50 Dy.upf
Au 196.97 Au.upf
ATOMIC_POSITIONS angstrom
Cd -5.6651 2.2145 0.2383
Dy -3.5468 -3.0215 0.5200
Cd -2.1535 -0.9497 -1.5778
Dy 0.3871 -3.0287 -0.7667
Au -4.8639 -0.4719 -0.5913
Au -2.2453 -3.8146 -2.1535
Au -5.9283 -5.0503 0.8692
Dy -2.7687 0.9998 1.1159
Cd 0.1192 -5.1693 -3.2123
CELL_PARAMETERS angstrom
-1.1807 0.7640 -3.6140
0.9637 -7.5392 -1.9086
-6.8921 2.4888 2.7778
```

Values from the calculation:
Energy relative to the elements   -63.69 kJ per mole of atoms
Space group   P-62m
Crystal system   hexagonal
Total energy   -3.592 eV per atom

Entry 8:
Below is a relaxed Dy6CdAu5 crystal, with properties calculated at the GGA-PBE level. Values from VASP.

Geometry as Quantum ESPRESSO input:
```
&SYSTEM
  ibrav = 0, nat = 12, ntyp = 3
/
ATOMIC_SPECIES
Au 196.97 Au.upf
Dy 162.50 Dy.upf
Cd 112.41 Cd.upf
ATOMIC_POSITIONS angstrom
Au 3.9603 -2.9117 -1.4451
Dy 3.5432 -1.8735 -4.3521
Au 2.4370 -5.9502 0.1201
Au 2.3631 1.0080 -4.4329
Au 0.7962 -1.9235 -2.9492
Dy 1.9979 -4.8575 -2.8824
Cd 0.0000 0.0000 0.0000
Dy -1.9509 -1.9736 -1.5463
Dy 1.2153 -2.9672 0.0159
Au -0.8447 2.1031 -6.0185
Dy 0.3771 -0.8799 -5.9143
Dy -0.4056 1.0104 -3.0159
CELL_PARAMETERS angstrom
-4.7311 -1.9434 -0.0204
0.7860 4.8784 -7.3830
5.5374 -6.7821 1.5050
```

Values from the calculation:
Energy relative to the elements   -74.44 kJ per mole of atoms
Space group   C2/m
Crystal system   monoclinic
Total energy   -4.514 eV per atom

Entry 9:
Below is a relaxed DyCd2Au6 crystal, with properties calculated at the GGA-PBE level. Values from VASP.

Geometry as Quantum ESPRESSO input:
```
&SYSTEM
  ibrav = 0, nat = 18, ntyp = 3
/
ATOMIC_SPECIES
Au 196.97 Au.upf
Cd 112.41 Cd.upf
Dy 162.50 Dy.upf
ATOMIC_POSITIONS angstrom
Au -0.9519 -9.1041 6.2980
Au -1.2287 -2.7138 1.9609
Cd 1.5553 -3.8669 2.4678
Cd 1.6579 -7.5318 6.0643
Au -1.0404 -6.3016 5.5306
Cd -1.3569 -3.4346 4.8155
Au -0.9610 -5.5023 2.7373
Au 1.2619 -5.4642 8.1425
Au 1.3414 -4.6649 5.3491
Au 1.5296 -8.2527 8.9189
Dy -3.7344 -5.4558 6.4907
Au 1.2528 -1.8624 4.5818
Au 4.1878 -6.2948 7.2794
Au -3.8869 -4.6717 3.6004
Au -3.7017 -7.5664 4.3845
Au 4.0026 -3.4001 6.4953
Dy 4.0353 -5.5107 4.3891
Cd -1.2544 -7.0996 8.4119
CELL_PARAMETERS angstrom
-0.3521 1.2897 4.9726
-4.8872 -6.5332 2.6894
5.5402 -5.7230 3.2177
```

Values from the calculation:
Energy relative to the elements   -33.54 kJ per mole of atoms
Space group   C2/c
Crystal system   monoclinic
Total energy   -3.247 eV per atom

Entry 10:
Below is a relaxed Dy2CdAu crystal, with properties calculated at the GGA-PBE level. Values from VASP.

Geometry as Quantum ESPRESSO input:
```
&SYSTEM
  ibrav = 0, nat = 4, ntyp = 3
/
ATOMIC_SPECIES
Dy 162.50 Dy.upf
Au 196.97 Au.upf
Cd 112.41 Cd.upf
ATOMIC_POSITIONS angstrom
Dy 0.0792 -0.3594 2.9153
Au 0.0000 0.0000 0.0000
Dy -0.1618 -0.5949 9.4265
Cd -0.0413 -0.4771 6.1709
CELL_PARAMETERS angstrom
-0.1840 -3.1852 2.1538
2.9109 -0.9046 2.3509
-2.8096 3.1356 7.8371
```

Values from the calculation:
Energy relative to the elements   -39.33 kJ per mole of atoms
Relative energy among the computed polymorphs   183 meV/atom
Space group   R-3m
Crystal system   trigonal
Total energy   -3.757 eV per atom

Entry 11:
Below is a relaxed Dy2Cd3Au3 crystal, with properties calculated at the GGA-PBE level. Values from VASP.

Geometry as Quantum ESPRESSO input:
```
&SYSTEM
  ibrav = 0, nat = 8, ntyp = 3
/
ATOMIC_SPECIES
Cd 112.41 Cd.upf
Au 196.97 Au.upf
Dy 162.50 Dy.upf
ATOMIC_POSITIONS angstrom
Cd -5.3608 -1.6418 1.6279
Au -2.3635 -0.3193 5.2377
Au -7.9447 -2.3100 3.7879
Dy -2.1535 0.0131 8.1698
Cd -7.7255 -1.9630 6.8486
Cd -2.5707 -0.6472 2.3455
Au -4.9247 -0.9516 7.7155
Dy -5.1394 -1.2913 4.7186
CELL_PARAMETERS angstrom
-4.8602 1.0310 0.2312
-3.2926 -3.6704 0.6520
-2.1440 0.0281 8.3023
```

Values from the calculation:
Energy relative to the elements   -55.31 kJ per mole of atoms
Space group   R3m
Crystal system   trigonal
Total energy   -3.296 eV per atom

Entry 12:
Below is a relaxed Dy3Cd2Au2 crystal, with properties calculated at the GGA-PBE level. Values from VASP.

Geometry as Quantum ESPRESSO input:
```
&SYSTEM
  ibrav = 0, nat = 7, ntyp = 3
/
ATOMIC_SPECIES
Dy 162.50 Dy.upf
Au 196.97 Au.upf
Cd 112.41 Cd.upf
ATOMIC_POSITIONS angstrom
Dy -5.1354 3.6438 5.0666
Dy 0.0000 0.0000 0.0000
Au -4.1051 1.4783 6.7936
Au -2.1847 1.7457 4.7870
Dy -3.7918 -0.5946 3.9664
Cd -5.7573 3.4883 8.3661
Cd -0.5325 -0.2643 3.2144
CELL_PARAMETERS angstrom
-1.7706 -3.0535 2.0427
2.6374 0.1749 2.5475
-7.1566 6.1027 6.9904
```

Values from the calculation:
Energy relative to the elements   -54.31 kJ per mole of atoms
Space group   Cmmm
Crystal system   orthorhombic
Total energy   -3.733 eV per atom

no.,magnetization (μB per cell),density (Mg/m³)
1,0.000,9.24
2,0.000,10.37
3,0.000,9.85
4,0.000,11.27
5,0.000,9.34
6,0.000,9.36
7,0.000,11.40
8,0.000,12.09
9,0.000,14.45
10,0.000,9.53
11,0.000,12.02
12,0.000,10.63